Record 1
Entry from the Alexandria database: a relaxed structure of YVRh2 (PBE-GGA). Values from VASP.

```
&SYSTEM
  ibrav = 0, nat = 4, ntyp = 3
/
ATOMIC_SPECIES
Y 88.91 Y.upf
V 50.94 V.upf
Rh 102.91 Rh.upf
CELL_PARAMETERS angstrom
0.000 3.254 3.254
3.254 0.000 3.254
3.254 3.254 0.000
ATOMIC_POSITIONS angstrom
Y 3.254 3.254 3.254
V 0.000 0.000 0.000
Rh 4.882 4.882 4.882
Rh 1.627 1.627 1.627
```

Properties
* distance to the lowest polymorph of the same formula: 115.1 meV per atom
* DOS(E_F): 6.245 states/eV/f.u.
* space-group type: Fm-3m, No. 225
* ΔE_f: -347 meV per atom

Record 2
Entry from the Alexandria database: a relaxed structure of YV2Rh2 (PBE-GGA). Values from VASP.

```
&SYSTEM
  ibrav = 0, nat = 5, ntyp = 3
/
ATOMIC_SPECIES
Rh 102.91 Rh.upf
V 50.94 V.upf
Y 88.91 Y.upf
CELL_PARAMETERS angstrom
4.217 0.000 0.000
0.000 4.217 0.000
2.109 2.109 5.071
ATOMIC_POSITIONS angstrom
Rh 4.217 4.217 3.753
V 2.109 4.217 2.535
V 4.217 2.109 2.535
Rh 2.109 2.109 1.318
Y 0.000 0.000 0.000
```

Properties
* distance to the lowest polymorph of the same formula: 0.0 meV per atom
* DOS(E_F): 3.702 states/eV/f.u.
* space-group type: I4/mmm, No. 139
* ΔE_f: -390 meV per atom

Record 3
Entry from the Alexandria database: a relaxed structure of YVRh (PBE-GGA). Values from VASP.

```
&SYSTEM
  ibrav = 0, nat = 12, ntyp = 3
/
ATOMIC_SPECIES
V 50.94 V.upf
Y 88.91 Y.upf
Rh 102.91 Rh.upf
CELL_PARAMETERS angstrom
-1.438 -3.904 -3.724
-3.339 -2.559 3.971
-7.247 2.815 -0.154
ATOMIC_POSITIONS angstrom
V -3.854 -2.951 -2.891
Y -6.000 -2.513 1.736
Y -7.569 1.220 0.671
Y -6.023 -1.135 -1.643
Rh -10.286 -0.789 1.645
V -3.286 -1.938 0.014
Rh -1.738 -2.859 -1.552
V -8.169 -0.697 2.985
Rh -4.629 0.071 0.679
V -8.737 -1.710 0.079
Y -4.454 -4.868 -0.578
Rh -7.395 -3.719 -0.586
```

Properties
* DOS(E_F): 3.563 states/eV/f.u.
* space-group type: P2_1/c, No. 14
* ΔE_f: -333 meV per atom

What is the DOS(E_F) in the first record? 6.245 states/eV/f.u.

Among the records above, which one has the highest DOS(E_F)? YVRh2